A plane-wave DFT calculation with meta-GGA SCAN was carried out for a PBEsol-optimized structure of NaTiAlTl2.

Output
**Total energy**: -33.792 eV per atom

a b c (Å): 5.308 5.308 5.550
angles (deg): 90.00 90.00 90.00
Site moments in Bohr magnetons follow the coordinates.
Fractional coordinates of all 5 atoms:
Na 0.000 0.000 0.500  0.04
Tl 0.000 0.500 0.000  0.08
Tl 0.500 0.000 0.000  0.08
Al 0.500 0.500 0.500  0.01
Ti 0.000 0.000 0.000  1.61


A plane-wave DFT calculation with meta-GGA SCAN was carried out for a PBEsol-optimized structure of NaYAl2.

Output
**Total energy**: -11.945 eV per atom

a b c (Å): 5.006 5.006 5.006
angles (deg): 60.00 60.00 60.00
Fractional coordinates of all 4 atoms:
Y 0.500 0.500 0.500
Na 0.000 0.000 0.000
Al 0.250 0.250 0.250
Al 0.750 0.750 0.750


A plane-wave DFT calculation with meta-GGA SCAN was carried out for a PBEsol-optimized structure of NaAl3Zn.

Output
**Total energy**: -7.778 eV per atom

a b c (Å): 4.829 4.829 4.829
angles (deg): 90.00 90.00 90.00
Fractional coordinates of all 5 atoms:
Na 0.500 0.500 0.500
Zn 0.000 0.000 0.000
Al 0.000 0.500 0.000
Al 0.000 0.000 0.500
Al 0.500 0.000 0.000